This record from Alexandria describes an optimized crystal structure of ErWClO4. The functional is GGA+U.

Cell: 6.3186 6.3186 6.9470 Å, 75.34 75.34 70.56°
Atoms (fractional coordinates):
Er  0.2222  0.2222  0.8828
Er  0.7778  0.7778  0.1172
W  0.6370  0.6370  0.7335
W  0.3630  0.3630  0.2665
Cl  0.0106  0.0106  0.2298
Cl  0.9894  0.9894  0.7702
O  0.2963  0.2963  0.5376
O  0.7037  0.7037  0.4624
O  0.1036  0.4914  0.1575
O  0.5473  0.5473  0.1906
O  0.5086  0.8964  0.8425
O  0.4914  0.1036  0.1575
O  0.4527  0.4527  0.8094
O  0.8964  0.5086  0.8425

Values from the calculation:
- Total DFT energy (no corrections): -7.2349 eV/atom
- Theoretical density: 6.018 g/cm³